DFT (PBE) results for crystalline SiTcPb3 at its relaxed geometry.

```
5
Lattice="5.317 0.000 0.000 0.000 5.317 0.000 0.000 0.000 5.317" Properties=species:S:1:pos:R:3 pbc="T T T"
Si 0.000 0.000 0.000
Tc 2.659 2.659 2.659
Pb 0.000 2.659 2.659
Pb 2.659 0.000 2.659
Pb 2.659 2.659 0.000
```

Properties
Distance to the lowest polymorph of the same formula in meV/atom: 0
E_form (uncorrected) in eV per atom: 0.7827